Entry 1:
Below is Tl2Sb3Au5 after structural relaxation, with properties calculated at the PBE level.

* space group: Ibam
* formation energy from raw total energies: -32 meV per atom

Cell lengths 9.3942, 9.3942, 9.3942 Å; angles 99.39, 94.48, 139.35 degrees
Element x y z (fractional)
Tl 0.1291 0.2347 0.3638
Tl 0.3709 0.7347 0.1056
Tl 0.6291 0.2653 0.8944
Tl 0.8709 0.7653 0.6362
Sb 0.1363 0.8799 0.0162
Sb 0.2500 0.7500 0.5000
Sb 0.3637 0.3799 0.7437
Sb 0.6363 0.6201 0.2563
Sb 0.7500 0.2500 0.5000
Sb 0.8637 0.1201 0.9838
Au 0.0227 0.7500 0.2727
Au 0.1065 0.6594 0.7659
Au 0.2500 0.2500 0.0000
Au 0.3935 0.1594 0.5528
Au 0.4773 0.7500 0.7273
Au 0.5227 0.2500 0.2727
Au 0.6065 0.8406 0.4472
Au 0.7500 0.7500 0.0000
Au 0.8935 0.3406 0.2341
Au 0.9773 0.2500 0.7273



Entry 2:
Below is Li4Cd2Hg5 after structural relaxation, with properties calculated at the PBE level.

* relative energy among the computed polymorphs: 0.128 eV/atom
* space group: C2/m

Cell lengths 10.7113, 10.7113, 7.1840 Å; angles 106.39, 106.39, 18.09 degrees
Element x y z (fractional)
Li 0.0096 0.0096 0.3022
Li 0.4068 0.4068 0.3871
Li 0.5932 0.5932 0.6129
Li 0.9904 0.9904 0.6978
Cd 0.2635 0.2635 0.2236
Cd 0.7365 0.7365 0.7764
Hg 0.1285 0.1285 0.9368
Hg 0.1492 0.1492 0.3918
Hg 0.5000 0.5000 0.0000
Hg 0.8508 0.8508 0.6082
Hg 0.8715 0.8715 0.0632



Entry 3:
Below is Pm5In2Hg2 after structural relaxation, with properties calculated at the PBE level.

* space group: Cmce
* E: -3.677 eV per atom

Cell lengths 9.4714, 9.4714, 7.4545 Å; angles 90.00, 90.00, 55.43 degrees
Element x y z (fractional)
Pm 0.0000 0.0000 0.0000
Pm 0.0467 0.6723 0.6605
Pm 0.1723 0.5467 0.1605
Pm 0.3277 0.9533 0.6605
Pm 0.4533 0.8277 0.1605
Pm 0.5000 0.5000 0.5000
Pm 0.5467 0.1723 0.8395
Pm 0.6723 0.0467 0.3395
Pm 0.8277 0.4533 0.8395
Pm 0.9533 0.3277 0.3395
In 0.2099 0.2099 0.0000
In 0.2901 0.2901 0.5000
In 0.7099 0.7099 0.5000
In 0.7901 0.7901 0.0000
Hg 0.1402 0.8598 0.3821
Hg 0.3598 0.6402 0.8821
Hg 0.6402 0.3598 0.1179
Hg 0.8598 0.1402 0.6179



Entry 4:
Below is K2RhCl2O2 after structural relaxation, with properties calculated at the PBE level.

* space group: I4/mmm
* formation energy from raw total energies: -1136 meV per atom

Cell lengths 8.4288, 8.4288, 8.4288 Å; angles 151.48, 151.48, 40.77 degrees
Element x y z (fractional)
K 0.1193 0.1193 0.0000
K 0.8807 0.8807 0.0000
Rh 0.5000 0.5000 0.0000
Cl 0.3446 0.3446 0.0000
Cl 0.6554 0.6554 0.0000
O 0.0000 0.5000 0.5000
O 0.5000 0.0000 0.5000



Entry 5:
Below is TaGaSe after structural relaxation, with properties calculated at the PBE level.

* space group: Cc
* formation energy from raw total energies: -72 meV per atom

Cell lengths 8.0512, 8.0512, 10.2046 Å; angles 126.30, 126.30, 47.42 degrees
Element x y z (fractional)
Ta 0.0600 0.9400 0.5000
Ta 0.2268 0.7490 0.7360
Ta 0.4701 0.9766 0.7922
Ta 0.7490 0.2268 0.2360
Ta 0.9400 0.0600 0.0000
Ta 0.9766 0.4701 0.2922
Ga 0.0955 0.2787 0.5698
Ga 0.1625 0.8315 0.2247
Ga 0.2787 0.0955 0.0698
Ga 0.4715 0.5391 0.4618
Ga 0.5391 0.4715 0.9618
Ga 0.8315 0.1625 0.7247
Se 0.2995 0.3612 0.0371
Se 0.3612 0.2995 0.5371
Se 0.6003 0.6773 0.3436
Se 0.6773 0.6003 0.8436
Se 0.7345 0.8760 0.2281
Se 0.8760 0.7345 0.7281



Entry 6:
Below is Na4B2O5 after structural relaxation, with properties calculated at the PBE level.

* space group: Cm
* formation energy from raw total energies: -2033 meV per atom

Cell lengths 4.8386, 4.8386, 6.6784 Å; angles 103.25, 103.25, 69.75 degrees
Element x y z (fractional)
Na 0.0000 0.0000 0.0000
Na 0.2424 0.2424 0.4180
Na 0.3646 0.3646 0.9696
Na 0.6157 0.6157 0.7561
B 0.7652 0.7652 0.2019
B 0.8870 0.8870 0.5926
O 0.0907 0.6558 0.6859
O 0.4885 0.9228 0.1133
O 0.6558 0.0907 0.6859
O 0.9144 0.9144 0.3874
O 0.9228 0.4885 0.1133



N(E_F)? In order: 0.362; 0.310; 0.896; 0.556; 0.330; 0.000 states/eV per atom.
Total magnetization? In order: 0.00; 0.00; 0.00; 1.58; 0.00; 0.00 μB/f.u..